No. 1
Below is ZrSnMoN2 after structural relaxation, with properties calculated at the PBE level.

Size of the total moment ... 0.01 μB/f.u.
Fermi-level density of states ... 1.33 states/eV/atom
Crystal system ... tetragonal
Uncorrected formation energy ... 1190.2 meV/atom
Energy ... -6.816 eV per atom

CIF file:
```
data_ZrSnMoN2
_chemical_formula_sum 'Zr1 Sn1 Mo1 N2'
_symmetry_space_group_name_H-M 'P 4/m m m'
_symmetry_Int_Tables_number 123
_symmetry_space_group_name_Hall '-P 4 2'
_cell_length_a 4.058
_cell_length_b 4.058
_cell_length_c 6.198
_cell_angle_alpha 90.00
_cell_angle_beta 90.00
_cell_angle_gamma 90.00
loop_
_atom_site_label
_atom_site_type_symbol
_atom_site_fract_x
_atom_site_fract_y
_atom_site_fract_z
Zr1 Zr 0.000 0.000 0.000
Sn1 Sn 0.000 0.000 0.500
Mo1 Mo 0.500 0.500 0.500
N1 N 0.000 0.500 0.000
```

No. 2
Below is Sr3MoN4 after structural relaxation, with properties calculated at the PBE level.

Size of the total moment ... 0.00 μB/f.u.
Fermi-level density of states ... 0.00 states/eV/atom
Crystal system ... orthorhombic
Uncorrected formation energy ... -926.2 meV/atom
Energy ... -7.073 eV per atom

CIF file:
```
data_Sr3MoN4
_chemical_formula_sum 'Sr24 Mo8 N32'
_symmetry_space_group_name_H-M 'P b c a'
_symmetry_Int_Tables_number 61
_cell_length_a 9.796
_cell_length_b 11.674
_cell_length_c 10.573
_cell_angle_alpha 90.00
_cell_angle_beta 90.00
_cell_angle_gamma 90.00
loop_
_symmetry_equiv_pos_as_xyz
'x,y,z'
'-x,-y,-z'
'-x+1/2,-y,z+1/2'
'x+1/2,y,-z+1/2'
'x+1/2,-y+1/2,-z'
'-x+1/2,y+1/2,z'
'-x,y+1/2,-z+1/2'
'x,-y+1/2,z+1/2'
loop_
_atom_site_label
_atom_site_type_symbol
_atom_site_fract_x
_atom_site_fract_y
_atom_site_fract_z
Sr1 Sr 0.027 0.104 0.125
Sr2 Sr 0.132 0.643 0.027
Sr3 Sr 0.196 0.117 0.711
Mo1 Mo 0.191 0.113 0.399
N1 N 0.058 0.008 0.341
N2 N 0.111 0.223 0.505
N3 N 0.187 0.530 0.504
N4 N 0.214 0.680 0.263
```

No. 3
Below is Sr3MoN4 after structural relaxation, with properties calculated at the PBE level.

Size of the total moment ... 0.00 μB/f.u.
Fermi-level density of states ... 0.00 states/eV/atom
Crystal system ... monoclinic
Uncorrected formation energy ... -930.3 meV/atom
Energy ... -7.078 eV per atom

CIF file:
```
data_Sr3MoN4
_chemical_formula_sum 'Sr36 Mo12 N48'
_symmetry_space_group_name_H-M 'C 1 2/c 1'
_symmetry_Int_Tables_number 15
_cell_length_a 17.994
_cell_length_b 10.371
_cell_length_c 9.969
_cell_angle_alpha 90.00
_cell_angle_beta 97.96
_cell_angle_gamma 90.00
loop_
_symmetry_equiv_pos_as_xyz
'x,y,z'
'-x,-y,-z'
'-x,y,-z+1/2'
'x,-y,z+1/2'
'x+1/2,y+1/2,z'
'-x+1/2,-y+1/2,-z'
'-x+1/2,y+1/2,-z+1/2'
'x+1/2,-y+1/2,z+1/2'
loop_
_atom_site_label
_atom_site_type_symbol
_atom_site_fract_x
_atom_site_fract_y
_atom_site_fract_z
Sr1 Sr 0.000 0.016 0.250
Sr2 Sr 0.021 0.339 0.587
Sr3 Sr 0.154 0.235 0.099
Sr4 Sr 0.177 0.128 0.454
Sr5 Sr 0.185 0.464 0.797
Mo1 Mo 0.000 0.335 0.250
Mo2 Mo 0.176 0.148 0.788
N1 N 0.051 0.223 0.378
N2 N 0.065 0.434 0.156
N3 N 0.098 0.255 0.836
N4 N 0.139 0.002 0.692
N5 N 0.235 0.247 0.684
N6 N 0.239 0.094 0.944
```

No. 4
Below is Sr2Mo2N after structural relaxation, with properties calculated at the PBE level.

Size of the total moment ... 0.11 μB/f.u.
Fermi-level density of states ... 1.35 states/eV/atom
Crystal system ... tetragonal
Uncorrected formation energy ... 1072.8 meV/atom
Energy ... -5.597 eV per atom

CIF file:
```
data_Sr2Mo2N
_chemical_formula_sum 'Sr4 Mo4 N2'
_symmetry_space_group_name_H-M 'I 4/m m m'
_symmetry_Int_Tables_number 139
_symmetry_space_group_name_Hall '-I 4 2'
_cell_length_a 6.235
_cell_length_b 6.235
_cell_length_c 6.319
_cell_angle_alpha 90.00
_cell_angle_beta 90.00
_cell_angle_gamma 90.00
loop_
_atom_site_label
_atom_site_type_symbol
_atom_site_fract_x
_atom_site_fract_y
_atom_site_fract_z
Sr1 Sr 0.000 0.500 0.250
Mo1 Mo 0.000 0.000 0.196
N1 N 0.000 0.000 0.500
```

No. 5
Below is SrMo2N after structural relaxation, with properties calculated at the PBE level.

Size of the total moment ... 0.00 μB/f.u.
Fermi-level density of states ... 0.57 states/eV/atom
Crystal system ... tetragonal
Uncorrected formation energy ... 333.0 meV/atom
Energy ... -7.584 eV per atom

CIF file:
```
data_SrMo2N
_chemical_formula_sum 'Sr4 Mo8 N4'
_symmetry_space_group_name_H-M 'I 41/a m d'
_symmetry_Int_Tables_number 141
_cell_length_a 6.307
_cell_length_b 6.307
_cell_length_c 8.911
_cell_angle_alpha 90.00
_cell_angle_beta 90.00
_cell_angle_gamma 90.00
loop_
_symmetry_equiv_pos_as_xyz
'x,y,z'
'-x,-y,-z'
'-y+1/4,x+3/4,z+1/4'
'y+1/4,-x+3/4,-z+1/4'
'-x+1/2,-y,z+1/2'
'x+1/2,y,-z+1/2'
'y+1/4,-x+1/4,z+3/4'
'-y+1/4,x+1/4,-z+3/4'
'x,-y,-z'
'-x,y,z'
'-y+1/4,-x+1/4,-z+3/4'
'y+1/4,x+1/4,z+3/4'
'-x+1/2,y,-z+1/2'
'x+1/2,-y,z+1/2'
'y+1/4,x+3/4,-z+1/4'
'-y+1/4,-x+3/4,z+1/4'
'x+1/2,y+1/2,z+1/2'
'-x+1/2,-y+1/2,-z+1/2'
'-y+3/4,x+1/4,z+3/4'
'y+3/4,-x+1/4,-z+3/4'
'-x,-y+1/2,z'
'x,y+1/2,-z'
'y+3/4,-x+3/4,z+1/4'
'-y+3/4,x+3/4,-z+1/4'
'x+1/2,-y+1/2,-z+1/2'
'-x+1/2,y+1/2,z+1/2'
'-y+3/4,-x+3/4,-z+1/4'
'y+3/4,x+3/4,z+1/4'
'-x,y+1/2,-z'
'x,-y+1/2,z'
'y+3/4,x+1/4,-z+3/4'
'-y+3/4,-x+1/4,z+3/4'
loop_
_atom_site_label
_atom_site_type_symbol
_atom_site_fract_x
_atom_site_fract_y
_atom_site_fract_z
Sr1 Sr 0.000 0.250 0.375
Mo1 Mo 0.000 0.000 0.000
N1 N 0.000 0.250 0.875
```

No. 6
Below is SrMoN2 after structural relaxation, with properties calculated at the PBE level.

Size of the total moment ... 0.00 μB/f.u.
Fermi-level density of states ... 0.25 states/eV/atom
Crystal system ... orthorhombic
Uncorrected formation energy ... -642.2 meV/atom
Energy ... -7.933 eV per atom

CIF file:
```
data_SrMoN2
_chemical_formula_sum 'Sr4 Mo4 N8'
_symmetry_space_group_name_H-M 'P n m a'
_symmetry_Int_Tables_number 62
_cell_length_a 6.031
_cell_length_b 3.537
_cell_length_c 11.858
_cell_angle_alpha 90.00
_cell_angle_beta 90.00
_cell_angle_gamma 90.00
loop_
_symmetry_equiv_pos_as_xyz
'x,y,z'
'-x,-y,-z'
'-x+1/2,-y,z+1/2'
'x+1/2,y,-z+1/2'
'x+1/2,-y+1/2,-z+1/2'
'-x+1/2,y+1/2,z+1/2'
'-x,y+1/2,-z'
'x,-y+1/2,z'
loop_
_atom_site_label
_atom_site_type_symbol
_atom_site_fract_x
_atom_site_fract_y
_atom_site_fract_z
Sr1 Sr 0.073 0.250 0.153
Mo1 Mo 0.049 0.750 0.417
N1 N 0.106 0.250 0.716
N2 N 0.205 0.250 0.464
```

No. 7
Below is Sr3MoN4 after structural relaxation, with properties calculated at the PBE level.

Size of the total moment ... 0.00 μB/f.u.
Fermi-level density of states ... 0.00 states/eV/atom
Crystal system ... orthorhombic
Uncorrected formation energy ... -869.2 meV/atom
Energy ... -7.016 eV per atom

CIF file:
```
data_Sr3MoN4
_chemical_formula_sum 'Sr12 Mo4 N16'
_symmetry_space_group_name_H-M 'P n m a'
_symmetry_Int_Tables_number 62
_cell_length_a 7.695
_cell_length_b 8.646
_cell_length_c 8.446
_cell_angle_alpha 90.00
_cell_angle_beta 90.00
_cell_angle_gamma 90.00
loop_
_symmetry_equiv_pos_as_xyz
'x,y,z'
'-x,-y,-z'
'-x+1/2,-y,z+1/2'
'x+1/2,y,-z+1/2'
'x+1/2,-y+1/2,-z+1/2'
'-x+1/2,y+1/2,z+1/2'
'-x,y+1/2,-z'
'x,-y+1/2,z'
loop_
_atom_site_label
_atom_site_type_symbol
_atom_site_fract_x
_atom_site_fract_y
_atom_site_fract_z
Sr1 Sr 0.046 0.032 0.224
Sr2 Sr 0.164 0.750 0.476
Mo1 Mo 0.218 0.750 0.992
N1 N 0.010 0.250 0.927
N2 N 0.169 0.068 0.554
N3 N 0.206 0.750 0.766
```

No. 8
Below is Sr3Mo5N12 after structural relaxation, with properties calculated at the PBE level.

Size of the total moment ... 0.00 μB/f.u.
Crystal system ... cubic
Uncorrected formation energy ... -452.7 meV/atom
Energy ... -8.408 eV per atom

CIF file:
```
data_Sr3Mo5N12
_chemical_formula_sum 'Sr24 Mo40 N96'
_symmetry_space_group_name_H-M 'I a -3 d'
_symmetry_Int_Tables_number 230
_symmetry_space_group_name_Hall '-I 4bd 2c 3'
_cell_length_a 13.158
_cell_length_b 13.158
_cell_length_c 13.158
_cell_angle_alpha 90.00
_cell_angle_beta 90.00
_cell_angle_gamma 90.00
loop_
_atom_site_label
_atom_site_type_symbol
_atom_site_fract_x
_atom_site_fract_y
_atom_site_fract_z
Sr1 Sr 0.000 0.250 0.125
Mo1 Mo 0.000 0.000 0.000
Mo2 Mo 0.000 0.250 0.375
N1 N 0.038 0.041 0.645
```

No. 9
Below is SrMo3N after structural relaxation, with properties calculated at the PBE level.

Size of the total moment ... 0.00 μB/f.u.
Fermi-level density of states ... 1.52 states/eV/atom
Crystal system ... cubic
Uncorrected formation energy ... 553.3 meV/atom
Energy ... -7.947 eV per atom

CIF file:
```
data_SrMo3N
_chemical_formula_sum 'Sr1 Mo3 N1'
_symmetry_space_group_name_H-M 'P m -3 m'
_symmetry_Int_Tables_number 221
_symmetry_space_group_name_Hall '-P 4 2 3'
_cell_length_a 4.340
_cell_length_b 4.340
_cell_length_c 4.340
_cell_angle_alpha 90.00
_cell_angle_beta 90.00
_cell_angle_gamma 90.00
loop_
_atom_site_label
_atom_site_type_symbol
_atom_site_fract_x
_atom_site_fract_y
_atom_site_fract_z
Sr1 Sr 0.000 0.000 0.000
Mo1 Mo 0.000 0.500 0.500
N1 N 0.500 0.500 0.500
```

No. 10
Below is SrMo3N after structural relaxation, with properties calculated at the PBE level.

Size of the total moment ... 0.00 μB/f.u.
Fermi-level density of states ... 1.36 states/eV/atom
Crystal system ... cubic
Uncorrected formation energy ... 4187.8 meV/atom
Energy ... -4.312 eV per atom

CIF file:
```
data_SrMo3N
_chemical_formula_sum 'Sr1 Mo3 N1'
_symmetry_space_group_name_H-M 'P m -3 m'
_symmetry_Int_Tables_number 221
_symmetry_space_group_name_Hall '-P 4 2 3'
_cell_length_a 4.747
_cell_length_b 4.747
_cell_length_c 4.747
_cell_angle_alpha 90.00
_cell_angle_beta 90.00
_cell_angle_gamma 90.00
loop_
_atom_site_label
_atom_site_type_symbol
_atom_site_fract_x
_atom_site_fract_y
_atom_site_fract_z
Sr1 Sr 0.000 0.000 0.000
Mo1 Mo 0.000 0.000 0.500
N1 N 0.500 0.500 0.500
```

No. 11
Below is Sr3Mo3N5 after structural relaxation, with properties calculated at the PBE level.

Size of the total moment ... 0.00 μB/f.u.
Fermi-level density of states ... 0.44 states/eV/atom
Crystal system ... triclinic
Uncorrected formation energy ... -527.4 meV/atom
Energy ... -7.724 eV per atom

CIF file:
```
data_Sr3Mo3N5
_chemical_formula_sum 'Sr6 Mo6 N10'
_symmetry_space_group_name_H-M 'P -1'
_symmetry_Int_Tables_number 2
_cell_length_a 6.125
_cell_length_b 7.369
_cell_length_c 8.933
_cell_angle_alpha 108.33
_cell_angle_beta 104.30
_cell_angle_gamma 95.47
loop_
_symmetry_equiv_pos_as_xyz
'x,y,z'
'-x,-y,-z'
loop_
_atom_site_label
_atom_site_type_symbol
_atom_site_fract_x
_atom_site_fract_y
_atom_site_fract_z
Sr1 Sr 0.153 0.157 0.207
Sr2 Sr 0.162 0.369 0.890
Sr3 Sr 0.321 0.939 0.619
Mo1 Mo 0.203 0.461 0.575
Mo2 Mo 0.376 0.617 0.300
Mo3 Mo 0.401 0.822 0.964
N1 N 0.105 0.563 0.377
N2 N 0.257 0.041 0.911
N3 N 0.305 0.739 0.131
N4 N 0.352 0.224 0.509
N5 N 0.473 0.607 0.796
```

No. 12
Below is Sr3MoN4 after structural relaxation, with properties calculated at the PBE level.

Size of the total moment ... 0.00 μB/f.u.
Fermi-level density of states ... 0.00 states/eV/atom
Crystal system ... orthorhombic
Uncorrected formation energy ... -884.5 meV/atom
Energy ... -7.032 eV per atom

CIF file:
```
data_Sr3MoN4
_chemical_formula_sum 'Sr6 Mo2 N8'
_symmetry_space_group_name_H-M 'P m n 21'
_symmetry_Int_Tables_number 31
_cell_length_a 7.953
_cell_length_b 6.914
_cell_length_c 5.730
_cell_angle_alpha 90.00
_cell_angle_beta 90.00
_cell_angle_gamma 90.00
loop_
_symmetry_equiv_pos_as_xyz
'x,y,z'
'-x+1/2,-y,z+1/2'
'-x,y,z'
'x+1/2,-y,z+1/2'
loop_
_atom_site_label
_atom_site_type_symbol
_atom_site_fract_x
_atom_site_fract_y
_atom_site_fract_z
Sr1 Sr 0.000 0.142 0.000
Sr2 Sr 0.244 0.326 0.499
Mo1 Mo 0.000 0.821 0.467
N1 N 0.000 0.089 0.546
N2 N 0.000 0.816 0.143
N3 N 0.203 0.692 0.554
```

No. 13
Below is SrMoN2 after structural relaxation, with properties calculated at the PBE level.

Size of the total moment ... 0.00 μB/f.u.
Fermi-level density of states ... 0.64 states/eV/atom
Crystal system ... tetragonal
Uncorrected formation energy ... -532.2 meV/atom
Energy ... -7.823 eV per atom

CIF file:
```
data_SrMoN2
_chemical_formula_sum 'Sr4 Mo4 N8'
_symmetry_space_group_name_H-M 'I -4 2 d'
_symmetry_Int_Tables_number 122
_symmetry_space_group_name_Hall 'I -4 2bw'
_cell_length_a 5.163
_cell_length_b 5.163
_cell_length_c 10.286
_cell_angle_alpha 90.00
_cell_angle_beta 90.00
_cell_angle_gamma 90.00
loop_
_atom_site_label
_atom_site_type_symbol
_atom_site_fract_x
_atom_site_fract_y
_atom_site_fract_z
Sr1 Sr 0.000 0.000 0.000
Mo1 Mo 0.000 0.000 0.500
N1 N 0.136 0.250 0.625
```

No. 14
Below is Sr3MoN after structural relaxation, with properties calculated at the PBE level.

Size of the total moment ... 4.23 μB/f.u.
Fermi-level density of states ... 0.71 states/eV/atom
Crystal system ... cubic
Uncorrected formation energy ... 391.9 meV/atom
Energy ... -4.449 eV per atom

CIF file:
```
data_Sr3MoN
_chemical_formula_sum 'Sr3 Mo1 N1'
_symmetry_space_group_name_H-M 'P m -3 m'
_symmetry_Int_Tables_number 221
_symmetry_space_group_name_Hall '-P 4 2 3'
_cell_length_a 5.287
_cell_length_b 5.287
_cell_length_c 5.287
_cell_angle_alpha 90.00
_cell_angle_beta 90.00
_cell_angle_gamma 90.00
loop_
_atom_site_label
_atom_site_type_symbol
_atom_site_fract_x
_atom_site_fract_y
_atom_site_fract_z
Sr1 Sr 0.000 0.000 0.500
Mo1 Mo 0.500 0.500 0.500
N1 N 0.000 0.000 0.000
```